Record 1
The following is a GGA-PBE calculation of a relaxed structure of F, from Alexandria via LeMat-Bulk.

Cell and atoms, written as extended XYZ:
```
3
Lattice="3.560 0.000 0.000 -1.780 3.083 0.000 0.000 0.000 3.848" Properties=species:S:1:pos:R:3 pbc="T T T"
F -1.367 2.368 0.641
F 0.413 0.715 1.924
F 2.735 0.000 3.207
```

Computed properties:
- VASP energy: -0.055 Ha/atom
- M_tot: 1.01 μB/f.u.
- ΔE to the lowest computed polymorph: 0.38 eV per formula unit
- Formation energy without anion corrections: 384 meV per atom
- Symmetry: P3_121 (152)

---

Record 2
The following is a GGA-PBE calculation of a relaxed structure of F, from Alexandria via LeMat-Bulk.

Cell and atoms, written as extended XYZ:
```
1
Lattice="2.792 0.000 0.000 0.000 2.792 0.000 0.000 0.000 1.743" Properties=species:S:1:pos:R:3 pbc="T T T"
F 0.000 0.000 0.000
```

Computed properties:
- VASP energy: -0.058 Ha/atom
- M_tot: 0.29 μB/f.u.
- ΔE to the lowest computed polymorph: 0.29 eV per formula unit
- Formation energy without anion corrections: 292 meV per atom
- N(E_F): 0.93 states/eV/atom
- Symmetry: P4/mmm (123)

---

Record 3
The following is a GGA-PBE calculation of a relaxed structure of F, from Alexandria via LeMat-Bulk.

Cell and atoms, written as extended XYZ:
```
2
Lattice="1.472 -2.676 0.000 1.472 2.676 0.000 0.000 0.000 3.379" Properties=species:S:1:pos:R:3 pbc="T T T"
F 1.472 2.540 2.534
F 1.472 -2.540 0.845
```

Computed properties:
- VASP energy: -0.060 Ha/atom
- M_tot: 0.17 μB/f.u.
- ΔE to the lowest computed polymorph: 0.23 eV per formula unit
- Formation energy without anion corrections: 233 meV per atom
- N(E_F): 0.72 states/eV/atom
- Symmetry: Cmcm (63)

---

Record 4
The following is a GGA-PBE calculation of a relaxed structure of F, from Alexandria via LeMat-Bulk.

Cell and atoms, written as extended XYZ:
```
4
Lattice="3.191 0.000 0.000 0.051 3.756 0.000 0.220 0.003 4.969" Properties=species:S:1:pos:R:3 pbc="T T T"
F 0.266 0.424 0.510
F 1.459 2.322 1.993
F 2.002 1.438 2.976
F 3.196 3.336 4.459
```

Computed properties:
- VASP energy: -0.068 Ha/atom
- M_tot: 0.00 μB/f.u.
- ΔE to the lowest computed polymorph: 0.01 eV per formula unit
- Formation energy without anion corrections: 9 meV per atom
- N(E_F): 0.00 states/eV/atom
- Symmetry: P-1 (2)

---

Record 5
The following is a GGA-PBE calculation of a relaxed structure of F, from Alexandria via LeMat-Bulk.

Cell and atoms, written as extended XYZ:
```
16
Lattice="9.244 0.000 0.000 0.000 9.244 0.000 0.000 0.000 3.022" Properties=species:S:1:pos:R:3 pbc="T T T"
F 0.055 3.206 0.000
F 0.506 1.850 0.000
F 1.850 8.738 0.000
F 2.508 6.369 1.511
F 2.523 4.940 1.511
F 2.875 2.508 1.511
F 3.206 9.188 0.000
F 4.304 2.523 1.511
F 4.940 6.721 1.511
F 6.038 0.055 0.000
F 6.369 6.736 1.511
F 6.721 4.304 1.511
F 6.736 2.875 1.511
F 7.393 0.506 0.000
F 8.738 7.393 0.000
F 9.188 6.038 0.000
```

Computed properties:
- VASP energy: -0.068 Ha/atom
- M_tot: 0.01 μB/f.u.
- ΔE to the lowest computed polymorph: 0.01 eV per formula unit
- Formation energy without anion corrections: 10 meV per atom
- N(E_F): 0.00 states/eV/atom
- Symmetry: P4/m (83)

---

Record 6
The following is a GGA-PBE calculation of a relaxed structure of F, from Alexandria via LeMat-Bulk.

Cell and atoms, written as extended XYZ:
```
2
Lattice="3.092 0.000 0.000 1.537 2.701 0.000 1.439 0.099 3.572" Properties=species:S:1:pos:R:3 pbc="T T T"
F 1.499 1.240 1.090
F 4.569 1.560 2.481
```

Computed properties:
- VASP energy: -0.068 Ha/atom
- M_tot: 0.00 μB/f.u.
- ΔE to the lowest computed polymorph: 0.01 eV per formula unit
- Formation energy without anion corrections: 9 meV per atom
- N(E_F): 0.00 states/eV/atom
- Symmetry: P-1 (2)

---

Record 7
The following is a GGA-PBE calculation of a relaxed structure of F, from Alexandria via LeMat-Bulk.

Cell and atoms, written as extended XYZ:
```
2
Lattice="3.099 0.000 0.000 1.549 2.723 0.000 1.539 -0.604 3.517" Properties=species:S:1:pos:R:3 pbc="T T T"
F 0.772 -0.096 1.075
F 5.414 2.215 2.442
```

Computed properties:
- VASP energy: -0.068 Ha/atom
- M_tot: 0.00 μB/f.u.
- ΔE to the lowest computed polymorph: 0.01 eV per formula unit
- Formation energy without anion corrections: 8 meV per atom
- N(E_F): 0.00 states/eV/atom
- Symmetry: P-1 (2)

---

Q: M_tot of number 1 (F)?
A: 1.01 μB/f.u.

---

Q: Number 2 is which compound?
A: F